An optimized crystal structure of Pr4Sm9Zn11. Source: the Alexandria database, functional PBE-GGA.

Lattice parameters (Å, degrees): 13.3556 13.3556 3.5631 90.00 90.00 108.09
Closest atoms and distances in Å follow each position.
Fractional positions:
Pr1 0.0807 0.2550 0.0000  6 Zn 3.15-3.32, 3 Sm 3.24-3.45
Pr2 0.2550 0.0807 0.0000  6 Zn 3.15-3.32, 3 Sm 3.24-3.45
Pr3 0.7450 0.9193 0.0000  6 Zn 3.15-3.32, 3 Sm 3.24-3.45
Pr4 0.9193 0.7450 0.0000  6 Zn 3.15-3.32, 3 Sm 3.24-3.45
Sm1 0.0000 0.0000 0.0000  4 Pr 3.24, 4 Zn 3.36, 2 Sm 3.56
Sm2 0.1197 0.6487 0.0000  8 Zn 3.10-3.39, 1 Pr 3.31
Sm3 0.2953 0.4806 0.0000  8 Zn 3.11-3.24, 1 Pr 3.45
Sm4 0.3513 0.8803 0.0000  8 Zn 3.10-3.39, 1 Pr 3.31
Sm5 0.4806 0.2953 0.0000  8 Zn 3.11-3.24, 1 Pr 3.45
Sm6 0.5194 0.7047 0.0000  8 Zn 3.11-3.24, 1 Pr 3.45
Sm7 0.6487 0.1197 0.0000  8 Zn 3.10-3.39, 1 Pr 3.31
Sm8 0.7047 0.5194 0.0000  8 Zn 3.11-3.24, 1 Pr 3.45
Sm9 0.8803 0.3513 0.0000  8 Zn 3.10-3.39, 1 Pr 3.31
Zn1 0.0855 0.4512 0.5000  1 Zn 2.96, 6 Sm 3.10-3.24, 2 Pr 3.15
Zn2 0.1317 0.8683 0.5000  4 Pr 3.32, 6 Sm 3.36-3.39, 2 Zn 3.56
Zn3 0.2880 0.2880 0.5000  4 Sm 3.11, 4 Pr 3.21, 1 Zn 3.32
Zn4 0.3216 0.6784 0.5000  8 Sm 3.11-3.15
Zn5 0.4512 0.0855 0.5000  1 Zn 2.96, 6 Sm 3.10-3.24, 2 Pr 3.15
Zn6 0.5000 0.5000 0.5000  8 Sm 3.20, 4 Zn 3.32-3.56
Zn7 0.5488 0.9145 0.5000  1 Zn 2.96, 6 Sm 3.10-3.24, 2 Pr 3.15
Zn8 0.6784 0.3216 0.5000  8 Sm 3.11-3.15
Zn9 0.7120 0.7120 0.5000  4 Sm 3.11, 4 Pr 3.21, 1 Zn 3.32
Zn10 0.8683 0.1317 0.5000  4 Pr 3.32, 6 Sm 3.36-3.39, 2 Zn 3.56
Zn11 0.9145 0.5488 0.5000  1 Zn 2.96, 6 Sm 3.10-3.24, 2 Pr 3.15

## Properties
Final energy ... -81.17 eV per cell
ΔE_f ... -0.23 eV per atom